## Tb2YIn3CuIr2 (PBE)

Data for Tb2YIn3CuIr2 after structural relaxation.

- raw total energy (eV/atom) = -5.67
- crystal system = orthorhombic
- space group = Amm2

Cell and atoms, written as POSCAR:
```
Tb2YIn3CuIr2
1.0
3.8804 0.0000 0.0000
0.0000 6.5724 3.7757
0.0000 -6.5724 3.7757
Tb Y In Cu Ir
2 1 3 1 2
Direct
0.0000 0.2069 0.7931 Tb
0.0000 0.7931 0.2069 Tb
0.0000 0.6194 0.6194 Y
0.5000 0.2079 0.4594 In
0.5000 0.4594 0.2079 In
0.5000 0.9529 0.9529 In
0.0000 0.2061 0.2061 Cu
0.5000 0.5395 0.8756 Ir
0.5000 0.8756 0.5395 Ir
```